NaHgTe2 | PBE | optimized geometry

Lattice parameters (Å, degrees): 6.5188 7.6830 11.5528 90.00 109.23 90.00
Last column: nearest neighbours and their distance in Å.
Sites, in units of the cell vectors:
Na  0.1747  0.2192  0.1263  5 Te 3.22-3.39
Na  0.1747  0.7808  0.6263  5 Te 3.22-3.39
Na  0.8253  0.2192  0.3737  5 Te 3.22-3.39
Na  0.8253  0.7808  0.8737  5 Te 3.22-3.39
Hg  0.3597  0.4173  0.8491  3 Te 2.78-2.97
Hg  0.3597  0.5827  0.3491  3 Te 2.78-2.97
Hg  0.6403  0.4173  0.6509  3 Te 2.78-2.97
Hg  0.6403  0.5827  0.1509  3 Te 2.78-2.97
Te  0.1168  0.1961  0.6637  1 Hg 2.78, 1 Te 2.88
Te  0.1168  0.8039  0.1637  1 Hg 2.78, 1 Te 2.88
Te  0.3683  0.2383  0.4246  2 Hg 2.78-2.97
Te  0.3683  0.7617  0.9246  2 Hg 2.78-2.97
Te  0.6317  0.2383  0.0754  2 Hg 2.78-2.97
Te  0.6317  0.7617  0.5754  2 Hg 2.78-2.97
Te  0.8832  0.1961  0.8363  1 Hg 2.78, 1 Te 2.88
Te  0.8832  0.8039  0.3363  1 Hg 2.78, 1 Te 2.88

Calculated values
**V**: 34.1 Å³/atom
**ΔE_f (raw)**: -0.357 eV per atom
**Space group**: P2/c